Entry 1:
Crystalline MgZr2Ir at its relaxed geometry, computed with GGA-PBEsol.

Cell and atoms, written as CIF:
```
data_MgZr2Ir
_cell_length_a 3.0173
_cell_length_b 3.0173
_cell_length_c 29.5589
_cell_angle_alpha 90.00
_cell_angle_beta 90.00
_cell_angle_gamma 120.00
_space_group_name_H-M_alt 'R -3 m'
_space_group_IT_number 166
_space_group_name_Hall '-R 3 2"'
loop_
_atom_site_label
_atom_site_type_symbol
_atom_site_fract_x
_atom_site_fract_y
_atom_site_fract_z
Mg1 Mg 0.0000 0.0000 0.0000
Zr1 Zr 0.0000 0.0000 0.2419
Ir1 Ir 0.0000 0.0000 0.5000
```

Values from the calculation:
ΔH_f (0 K) (eV per atom): -0.098
Fermi-level density of states (states/eV/cell): 12.23
Calculated volume (Å³ per atom): 19.421
M_tot (μB per formula unit): 0.00
Uncorrected energy (eV per atom): -7.5277

=====

Entry 2:
Crystalline BiPdIN2 at its relaxed geometry, computed with GGA-PBEsol.

Cell and atoms, written as CIF:
```
data_BiPdIN2
_cell_length_a 4.243
_cell_length_b 4.243
_cell_length_c 5.257
_cell_angle_alpha 90.00
_cell_angle_beta 90.00
_cell_angle_gamma 90.00
_space_group_name_H-M_alt 'P 4/m m m'
_space_group_IT_number 123
_space_group_name_Hall '-P 4 2'
loop_
_atom_site_label
_atom_site_type_symbol
_atom_site_fract_x
_atom_site_fract_y
_atom_site_fract_z
Bi1 Bi 0.000 0.000 0.000
Pd1 Pd 0.500 0.500 0.500
I1 I 0.500 0.500 0.000
N1 N 0.000 0.500 0.500
```

Values from the calculation:
Fermi-level density of states (states/eV/cell): 2.99
Calculated volume (Å³ per atom): 18.933
M_tot (μB per formula unit): 2.21
Uncorrected energy (eV per atom): -4.3571

=====

Entry 3:
Crystalline ZrTe at its relaxed geometry, computed with GGA-PBEsol.

Cell and atoms, written as CIF:
```
data_ZrTe
_cell_length_a 3.610
_cell_length_b 10.612
_cell_length_c 4.889
_cell_angle_alpha 90.00
_cell_angle_beta 90.00
_cell_angle_gamma 90.00
_space_group_name_H-M_alt 'C m c m'
_space_group_IT_number 63
_space_group_name_Hall '-C 2c 2'
loop_
_atom_site_label
_atom_site_type_symbol
_atom_site_fract_x
_atom_site_fract_y
_atom_site_fract_z
Zr1 Zr 0.000 0.094 0.250
Te1 Te 0.000 0.378 0.250
```

Values from the calculation:
Fermi-level density of states (states/eV/cell): 4.35
Calculated volume (Å³ per atom): 23.407
M_tot (μB per formula unit): 0.00
Uncorrected energy (eV per atom): -7.1141

=====

Entry 4:
Crystalline Li5Fe2Ir2O10 at its relaxed geometry, computed with GGA-PBEsol.

Cell and atoms, written as CIF:
```
data_Li5Fe2Ir2O10
_cell_length_a 4.856
_cell_length_b 14.816
_cell_length_c 5.024
_cell_angle_alpha 90.00
_cell_angle_beta 108.27
_cell_angle_gamma 90.00
_space_group_name_H-M_alt 'C 1 2 1'
_space_group_IT_number 5
loop_
_space_group_symop_operation_xyz
'x,y,z'
'-x,y,-z'
'x+1/2,y+1/2,z'
'-x+1/2,y+1/2,-z'
loop_
_atom_site_label
_atom_site_type_symbol
_atom_site_fract_x
_atom_site_fract_y
_atom_site_fract_z
Li1 Li 0.000 0.000 0.000
Li2 Li 0.000 0.091 0.500
Li3 Li 0.000 0.485 0.500
Li4 Li 0.000 0.703 0.500
Li5 Li 0.000 0.898 0.500
Fe1 Fe 0.000 0.196 0.000
Fe2 Fe 0.000 0.805 0.000
Ir1 Ir 0.000 0.394 0.000
Ir2 Ir 0.000 0.603 0.000
O1 O 0.224 0.498 0.227
O2 O 0.227 0.895 0.227
O3 O 0.232 0.107 0.235
O4 O 0.236 0.707 0.213
O5 O 0.245 0.291 0.217
```

Values from the calculation:
Fermi-level density of states (states/eV/cell): 15.79
Calculated volume (Å³ per atom): 9.033
M_tot (μB per formula unit): 5.05
Uncorrected energy (eV per atom): -6.6681

=====

uncorrected energy of number 4 (Li5Fe2Ir2O10)? -6.6681 eV per atom